LiYRh2 after structural relaxation. Source: the Alexandria database, functional PBE.

## Properties
Crystal system: trigonal
Space-group type: No. 166
DFT total energy, eV per atom: -5.94
ΔH_f (0 K), eV per atom: -0.166
Spin magnetization, Bohr magnetons per cell: 0.0

Cell lengths 8.015, 8.015, 8.015 Å; angles 23.23, 23.23, 23.23 degrees
Positions (direct):
Rh1 0.495 0.495 0.495
Rh2 0.005 0.005 0.005
Li1 0.750 0.750 0.750
Y1 0.250 0.250 0.250

=====

SrTh5As6 after structural relaxation. Source: the Alexandria database, functional PBE.

## Properties
Crystal system: monoclinic
Space-group type: No. 12
DFT total energy, eV per atom: -6.93
ΔH_f (0 K), eV per atom: -1.375
Spin magnetization, Bohr magnetons per cell: 0.0

Cell lengths 7.421, 7.417, 7.408 Å; angles 59.96, 80.42, 70.59 degrees
Positions (direct):
Th1 0.500 0.837 0.327
Th2 0.500 0.500 0.000
Th3 0.000 0.333 0.334
Th4 0.000 0.667 0.666
Th5 0.500 0.163 0.673
As1 0.749 0.744 0.000
As2 0.251 0.256 0.000
As3 0.255 0.575 0.340
As4 0.255 0.915 0.660
As5 0.745 0.425 0.660
As6 0.745 0.085 0.340
Sr1 0.000 0.000 0.000

=====

Pm4GaH after structural relaxation. Source: the Alexandria database, functional PBE.

## Properties
Crystal system: monoclinic
Space-group type: No. 13
DFT total energy, eV per atom: -4.39
Spin magnetization, Bohr magnetons per cell: 0.0

Cell lengths 3.720, 10.331, 8.861 Å; angles 108.78, 90.00, 90.00 degrees
Positions (direct):
Pm1 0.985 0.502 0.203
Pm2 0.503 0.825 0.949
Pm3 0.985 0.998 0.297
Pm4 0.015 0.498 0.797
Pm5 0.497 0.325 0.449
Pm6 0.015 0.002 0.703
Pm7 0.497 0.175 0.051
Pm8 0.503 0.675 0.551
Ga1 0.478 0.750 0.250
Ga2 0.522 0.250 0.750
H1 0.000 0.000 0.000
H2 0.000 0.500 0.500

=====

EuTl2Pt after structural relaxation. Source: the Alexandria database, functional PBE.

## Properties
Crystal system: trigonal
Space-group type: No. 166
DFT total energy, eV per atom: -5.22
ΔH_f (0 K), eV per atom: 0.046
Spin magnetization, Bohr magnetons per cell: 7.9

Cell lengths 3.850, 3.850, 10.240 Å; angles 79.17, 79.17, 60.00 degrees
Positions (direct):
Tl1 0.891 0.891 0.327
Tl2 0.109 0.109 0.673
Pt1 0.500 0.500 0.500
Eu1 0.000 0.000 0.000